No. 1
Ca4CeTl15 | PBE | optimized geometry

a = 4.8658 Å, b = 4.8658 Å, c = 24.3890 Å
α = 90.00°, β = 90.00°, γ = 90.00°
Element x y z (fractional)
Ca (0.0000, 0.0000, 0.1980)
Ca (0.0000, 0.0000, 0.3989)
Ca (0.0000, 0.0000, 0.6011)
Ca (0.0000, 0.0000, 0.8020)
Ce (0.0000, 0.0000, 0.0000)
Tl (0.5000, 0.5000, 0.0000)
Tl (0.5000, 0.5000, 0.1999)
Tl (0.5000, 0.5000, 0.3994)
Tl (0.5000, 0.5000, 0.6006)
Tl (0.5000, 0.5000, 0.8001)
Tl (0.5000, 0.0000, 0.0992)
Tl (0.5000, 0.0000, 0.2990)
Tl (0.5000, 0.0000, 0.5000)
Tl (0.5000, 0.0000, 0.7010)
Tl (0.5000, 0.0000, 0.9008)
Tl (0.0000, 0.5000, 0.0992)
Tl (0.0000, 0.5000, 0.2990)
Tl (0.0000, 0.5000, 0.5000)
Tl (0.0000, 0.5000, 0.7010)
Tl (0.0000, 0.5000, 0.9008)

The crystal system is tetragonal. The calculation puts the calculated formation energy at -0.237 eV/atom. The calculation puts the total DFT energy (no corrections) at -2.708 eV per atom. The value obtained for the volume is 28.9 A^3/atom.

***

No. 2
CuTcC3 | PBE | optimized geometry

a = 3.7291 Å, b = 3.7291 Å, c = 3.7291 Å
α = 90.00°, β = 90.00°, γ = 90.00°
Element x y z (fractional)
C (0.0000, 0.5000, 0.0000)
C (0.0000, 0.0000, 0.5000)
C (0.5000, 0.0000, 0.0000)
Tc (0.5000, 0.5000, 0.5000)
Cu (0.0000, 0.0000, 0.0000)

The crystal system is cubic. The calculation puts the calculated formation energy at 2.725 eV/atom. The calculation puts the total DFT energy (no corrections) at -5.701 eV per atom. The value obtained for the volume is 10.4 A^3/atom. The offset from the most stable computed form is 3.440 eV per formula unit.

***

No. 3
Ac2TmSn2 | PBE | optimized geometry

a = 5.2766 Å, b = 6.9537 Å, c = 9.9248 Å
α = 90.00°, β = 105.42°, γ = 90.00°
Element x y z (fractional)
Ac (0.9994, 0.7271, 0.9989)
Ac (0.8024, 0.4760, 0.6047)
Ac (0.1976, 0.9760, 0.3953)
Ac (0.0006, 0.2271, 0.0011)
Tm (0.3995, 0.9787, 0.7991)
Tm (0.6005, 0.4787, 0.2009)
Sn (0.4258, 0.4763, 0.8517)
Sn (0.8227, 0.9763, 0.6453)
Sn (0.1773, 0.4763, 0.3547)
Sn (0.5742, 0.9763, 0.1483)

The crystal system is orthorhombic. The calculation puts the calculated formation energy at -0.571 eV/atom. The calculation puts the total DFT energy (no corrections) at -4.710 eV per atom. The value obtained for the volume is 35.1 A^3/atom. The offset from the most stable computed form is 0.351 eV per formula unit.